1.
The following is a DFT calculation (GGA-PBE) of Cs3LaTm2Te6 after structural relaxation.

Summary:
* energy relative to the elements, uncorrected: -1400 meV per atom
* crystal system: monoclinic

a = 7.9654 Å, b = 13.7975 Å, c = 9.3037 Å
α = 90.00°, β = 106.61°, γ = 90.00°
Space group C2/m (No. 12)
One atom of each set of equivalent atoms:
Cs: 0.0000 0.0000 0.0000 [2 per cell]
Cs: 0.0000 0.3370 0.0000 [4 per cell]
La: 0.0000 0.5000 0.5000 [2 per cell]
Tm: 0.0000 0.1671 0.5000 [4 per cell]
Te: 0.2157 0.0000 0.6889 [4 per cell]
Te: 0.2372 0.3264 0.6905 [8 per cell]

2.
The following is a DFT calculation (GGA-PBE) of Cs3LaU2Te6 after structural relaxation.

Summary:
* energy relative to the elements, uncorrected: -1048 meV per atom
* crystal system: monoclinic

a = 8.0432 Å, b = 13.9316 Å, c = 9.3546 Å
α = 90.00°, β = 106.66°, γ = 90.00°
Space group C2/m (No. 12)
One atom of each set of equivalent atoms:
Cs: 0.0000 0.0000 0.0000 [2 per cell]
Cs: 0.0000 0.3358 0.0000 [4 per cell]
La: 0.0000 0.5000 0.5000 [2 per cell]
U: 0.0000 0.1670 0.5000 [4 per cell]
Te: 0.2218 0.0000 0.6927 [4 per cell]
Te: 0.2359 0.3289 0.6939 [8 per cell]

3.
The following is a DFT calculation (GGA-PBE) of Cs3La3UTe8 after structural relaxation.

Summary:
* energy relative to the elements, uncorrected: -1321 meV per atom
* crystal system: monoclinic

a = 16.2238 Å, b = 9.3783 Å, c = 10.5703 Å
α = 90.00°, β = 120.82°, γ = 90.00°
Space group C2/m (No. 12)
One atom of each set of equivalent atoms:
Cs: 0.0000 0.0000 0.0000 [2 per cell]
Cs: 0.2500 0.2500 0.0000 [4 per cell]
La: 0.0000 0.5000 0.5000 [2 per cell]
La: 0.2500 0.2500 0.5000 [4 per cell]
U: 0.0000 0.0000 0.5000 [2 per cell]
Te: 0.0171 0.2393 0.3122 [8 per cell]
Te: 0.2222 0.0000 0.6878 [4 per cell]
Te: 0.2322 0.5000 0.6963 [4 per cell]

4.
The following is a DFT calculation (GGA-PBE) of Cs3La3YTe8 after structural relaxation.

Summary:
* energy relative to the elements, uncorrected: -1392 meV per atom
* crystal system: monoclinic

a = 16.1256 Å, b = 9.2990 Å, c = 10.6077 Å
α = 90.00°, β = 120.51°, γ = 90.00°
Space group C2/m (No. 12)
One atom of each set of equivalent atoms:
Cs: 0.0000 0.0000 0.0000 [2 per cell]
Cs: 0.2500 0.2500 0.0000 [4 per cell]
La: 0.0000 0.5000 0.5000 [2 per cell]
La: 0.2500 0.2500 0.5000 [4 per cell]
Y: 0.0000 0.0000 0.5000 [2 per cell]
Te: 0.0170 0.2417 0.3097 [8 per cell]
Te: 0.2247 0.0000 0.6903 [4 per cell]
Te: 0.2326 0.5000 0.6977 [4 per cell]

5.
The following is a DFT calculation (GGA-PBE) of CsLa2ZnTe after structural relaxation.

Summary:
* energy relative to the elements, uncorrected: 4 meV per atom
* crystal system: tetragonal

a = 5.7581 Å, b = 5.7581 Å, c = 6.3921 Å
α = 90.00°, β = 90.00°, γ = 90.00°
Space group P4/mmm (No. 123)
One atom of each set of equivalent atoms:
Cs: 0.0000 0.0000 0.0000 [1 per cell]
La: 0.0000 0.5000 0.5000 [2 per cell]
Zn: 0.0000 0.0000 0.5000 [1 per cell]
Te: 0.5000 0.5000 0.0000 [1 per cell]

6.
The following is a DFT calculation (GGA-PBE) of CsLa2Ti after structural relaxation.

Summary:
* crystal system: tetragonal
* formation energy from the elements: 3.50 eV/f.u.

a = 8.6867 Å, b = 8.6867 Å, c = 9.3363 Å
α = 90.00°, β = 90.00°, γ = 90.00°
Space group I-42d (No. 122)
One atom of each set of equivalent atoms:
Cs: 0.0000 0.0000 0.0000 [4 per cell]
La: 0.0964 0.2500 0.6250 [8 per cell]
Ti: 0.0000 0.0000 0.5000 [4 per cell]